No. 1
DFT (GGA-PBE) results for crystalline CeMnS2 at its relaxed geometry.

Properties
- energy (eV/atom) = -6.450
- total magnetic moment (μB/cell) = 16.53

Cell: 3.7049 3.7049 23.8410 Å, 90.00 90.00 120.00°
Last column: nearest neighbours and their distance in Å.
Space group R-3m (No. 166, hexagonal axes)
Symmetry-distinct sites (fractional):
Ce: 0.0000 0.0000 0.0000 (multiplicity 3)  2 S 2.66
Mn: 0.0000 0.0000 0.5000 (multiplicity 3)  6 S 2.51
S: 0.0000 0.0000 0.1116 (multiplicity 6)  3 Mn 2.51, 1 Ce 2.66

---

No. 2
DFT (GGA-PBE) results for crystalline Ce11MnS16 at its relaxed geometry.

Properties
- energy (eV/atom) = -6.911
- total magnetic moment (μB/cell) = 34.94

Cell: 8.4597 16.9195 8.5969 Å, 90.00 90.00 90.00°
Last column: nearest neighbours and their distance in Å.
Space group P2_12_12 (No. 18)
Symmetry-distinct sites (fractional):
Ce: 0.0000 0.0000 0.1324 (multiplicity 2)  8 S 2.85-3.03
Ce: 0.0012 0.7496 0.3792 (multiplicity 4)  8 S 2.81-3.11
Ce: 0.1258 0.6263 0.7557 (multiplicity 4)  8 S 2.82-3.09
Ce: 0.1287 0.1229 0.7535 (multiplicity 4)  8 S 2.81-3.12
Ce: 0.2446 0.4404 0.4879 (multiplicity 4)  8 S 2.83-3.12
Ce: 0.2471 0.3149 0.0005 (multiplicity 4)  7 S 2.82-3.02
Mn: 0.0000 0.5000 0.0489 (multiplicity 2)  4 S 2.59-2.62
S: 0.0684 0.6501 0.0818 (multiplicity 4)  1 Mn 2.62, 2 Ce 2.82-2.87
S: 0.0705 0.0877 0.4280 (multiplicity 4)  6 Ce 2.85-3.09, 1 S 3.17
S: 0.0742 0.1648 0.0768 (multiplicity 4)  6 Ce 2.87-3.04
S: 0.0802 0.5909 0.4382 (multiplicity 4)  5 Ce 2.81-3.01
S: 0.1758 0.2864 0.6765 (multiplicity 4)  6 Ce 2.84-3.12
S: 0.1760 0.4621 0.8133 (multiplicity 4)  1 Mn 2.59, 3 Ce 2.85-2.88
S: 0.1760 0.7897 0.6770 (multiplicity 4)  6 Ce 2.87-3.04
S: 0.1841 0.9646 0.8381 (multiplicity 4)  5 Ce 2.81-3.12, 1 Mn 2.91

---

No. 3
DFT (GGA-PBE) results for crystalline CeMnS3 at its relaxed geometry.

Properties
- energy (eV/atom) = -6.567
- total magnetic moment (μB/cell) = 4.86

Cell: 4.6291 4.6291 4.6291 Å, 90.00 90.00 90.00°
Last column: nearest neighbours and their distance in Å.
Space group Pm-3m (No. 221)
Symmetry-distinct sites (fractional):
Ce: 0.0000 0.0000 0.0000 (multiplicity 1)  12 S 3.27
Mn: 0.5000 0.5000 0.5000 (multiplicity 1)  6 S 2.31
S: 0.0000 0.5000 0.5000 (multiplicity 3)  2 Mn 2.31

---

No. 4
DFT (GGA-PBE) results for crystalline Ce2ScMnS5 at its relaxed geometry.

Properties
- energy (eV/atom) = -7.006
- total magnetic moment (μB/cell) = 24.11

Cell: 3.8563 16.4297 11.6811 Å, 90.00 90.00 90.00°
Last column: nearest neighbours and their distance in Å.
Space group Cmc2_1 (No. 36)
Symmetry-distinct sites (fractional):
Ce: 0.0000 0.1144 0.0000 (multiplicity 4)  8 S 2.89-3.06
Ce: 0.0000 0.1308 0.6230 (multiplicity 4)  7 S 2.87-3.00
Sc: 0.0000 0.1994 0.3240 (multiplicity 4)  6 S 2.56-2.64
Mn: 0.0000 0.4435 0.7585 (multiplicity 4)  4 S 2.29-2.42
S: 0.0000 0.0473 0.3701 (multiplicity 4)  2 Mn 2.33, 1 Sc 2.56
S: 0.0000 0.2896 0.9761 (multiplicity 4)  2 Sc 2.63, 3 Ce 2.89
S: 0.0000 0.3100 0.6707 (multiplicity 4)  1 Mn 2.42, 2 Sc 2.64
S: 0.0000 0.3573 0.3145 (multiplicity 4)  1 Sc 2.60
S: 0.0000 0.4955 0.0822 (multiplicity 4)  1 Mn 2.29

---

No. 5
DFT (GGA-PBE) results for crystalline Ce2TiMnS5 at its relaxed geometry.

Properties
- energy (eV/atom) = -7.068
- total magnetic moment (μB/cell) = 18.29

Cell: 3.7915 16.2949 11.4136 Å, 90.00 90.00 90.00°
Last column: nearest neighbours and their distance in Å.
Space group Cmc2_1 (No. 36)
Symmetry-distinct sites (fractional):
Ce: 0.0000 0.1186 0.0000 (multiplicity 4)  8 S 2.87-3.07
Ce: 0.0000 0.1293 0.6203 (multiplicity 4)  7 S 2.85-2.92
Ti: 0.0000 0.1907 0.3165 (multiplicity 4)  6 S 2.44-2.59
Mn: 0.0000 0.4314 0.7588 (multiplicity 4)  4 S 2.29-2.31
S: 0.0000 0.0451 0.3664 (multiplicity 4)  2 Mn 2.29, 1 Ti 2.44
S: 0.0000 0.2933 0.9676 (multiplicity 4)  2 Ti 2.58, 3 Ce 2.87
S: 0.0000 0.3049 0.6682 (multiplicity 4)  1 Mn 2.31, 2 Ti 2.54
S: 0.0000 0.3498 0.3125 (multiplicity 4)  1 Ti 2.59, 2 Ce 2.90
S: 0.0000 0.4992 0.0848 (multiplicity 4)  1 Mn 2.29

---

No. 6
DFT (GGA-PBE) results for crystalline Ce2MnTl3S6 at its relaxed geometry.

Properties
- energy (eV/atom) = -5.512
- total magnetic moment (μB/cell) = 12.07

Cell: 6.9799 12.0624 7.8338 Å, 90.00 107.30 90.00°
Last column: nearest neighbours and their distance in Å.
Space group C2/m (No. 12)
Symmetry-distinct sites (fractional):
Ce: 0.0000 0.1666 0.0000 (multiplicity 4)  6 S 2.79
Mn: 0.0000 0.5000 0.0000 (multiplicity 2)  6 S 2.65-2.68
Tl: 0.0000 0.0000 0.5000 (multiplicity 2)  6 S 3.22-3.31
Tl: 0.0000 0.3322 0.5000 (multiplicity 4)  6 S 3.22-3.33
S: 0.2241 0.3409 0.1944 (multiplicity 8)  1 Mn 2.65, 2 Ce 2.79
S: 0.2456 0.0000 0.1982 (multiplicity 4)  1 Mn 2.68, 2 Ce 2.79

---

No. 7
DFT (GGA-PBE) results for crystalline CeMnTlS3 at its relaxed geometry.

Properties
- energy (eV/atom) = -6.081
- total magnetic moment (μB/cell) = 10.09

Cell: 8.8557 4.1422 9.2256 Å, 90.00 104.10 90.00°
Last column: nearest neighbours and their distance in Å.
Space group P2_1/m (No. 11)
Symmetry-distinct sites (fractional):
Ce: 0.1667 0.2500 0.1598 (multiplicity 2)  6 S 2.80-2.82
Mn: 0.4183 0.7500 0.4008 (multiplicity 2)  4 S 2.35-2.41
Tl: 0.3077 0.7500 0.7824 (multiplicity 2)  5 S 3.19-3.42
S: 0.0506 0.2500 0.8470 (multiplicity 2)  3 Ce 2.82
S: 0.3122 0.2500 0.4659 (multiplicity 2)  3 Mn 2.40-2.41
S: 0.3749 0.7500 0.1387 (multiplicity 2)  1 Mn 2.35

---

No. 8
DFT (GGA-PBE) results for crystalline Ce3MnTl3S8 at its relaxed geometry.

Properties
- energy (eV/atom) = -5.699
- total magnetic moment (μB/cell) = 18.19

Cell: 8.0558 8.0558 22.5403 Å, 90.00 90.00 120.00°
Last column: nearest neighbours and their distance in Å.
Space group R-3m (No. 166, hexagonal axes)
Symmetry-distinct sites (fractional):
Ce: 0.0000 0.5000 0.0000 (multiplicity 9)  6 S 2.76-2.79
Mn: 0.0000 0.0000 0.0000 (multiplicity 3)  6 S 2.64
Tl: 0.0000 0.5000 0.5000 (multiplicity 9)  6 S 3.22-3.27
S: 0.0000 0.0000 0.2653 (multiplicity 6)  3 Ce 2.79
S: 0.0132 0.5066 0.7295 (multiplicity 18)  1 Mn 2.64, 2 Ce 2.76